ReNi2Te: optimized geometry, PBE. Values from VASP.

Structure (Quantum ESPRESSO input):
```
&SYSTEM
  ibrav = 0, nat = 4, ntyp = 3
/
ATOMIC_SPECIES
Ni 58.69 Ni.upf
Re 186.21 Re.upf
Te 127.60 Te.upf
ATOMIC_POSITIONS angstrom
Ni 0.215 0.102 0.092
Ni 3.063 1.454 1.309
Re 1.626 -0.543 2.200
Te 4.904 1.013 3.600
CELL_PARAMETERS angstrom
-1.088 -0.053 2.607
1.062 -2.589 0.392
6.556 3.112 2.801
```

Computed properties:
Space-group type ... P4/mmm, No. 123
E_form (uncorrected) ... 38.4 kJ per mole of atoms
VASP energy ... -6.390 eV/atom
M_tot ... 0.00 μB/f.u.


SmLuTcPd: optimized geometry, PBE. Values from VASP.

Structure (Quantum ESPRESSO input):
```
&SYSTEM
  ibrav = 0, nat = 4, ntyp = 4
/
ATOMIC_SPECIES
Lu 174.97 Lu.upf
Pd 106.42 Pd.upf
Sm 150.36 Sm.upf
Tc 98.00 Tc.upf
ATOMIC_POSITIONS angstrom
Lu -1.105 -0.977 2.603
Pd 0.000 0.000 0.000
Sm -3.314 -2.931 7.808
Tc -2.209 -1.954 5.205
CELL_PARAMETERS angstrom
-4.092 -0.826 2.538
-0.259 -3.812 3.044
-0.068 0.731 4.829
```

Computed properties:
Space-group type ... F-43m, No. 216
VASP energy ... -6.544 eV/atom
ΔE_f ... -0.345 eV per atom
M_tot ... 0.00 μB/f.u.


Tb2PmSn3: optimized geometry, PBE. Values from VASP.

Structure (Quantum ESPRESSO input):
```
&SYSTEM
  ibrav = 0, nat = 6, ntyp = 3
/
ATOMIC_SPECIES
Tb 158.93 Tb.upf
Pm 145.00 Pm.upf
Sn 118.71 Sn.upf
ATOMIC_POSITIONS angstrom
Tb -0.899 2.900 -0.731
Tb -4.611 2.297 1.674
Pm -2.889 -1.054 -0.628
Sn -1.693 3.294 2.263
Sn 0.000 0.000 0.000
Sn -3.817 1.903 -1.319
CELL_PARAMETERS angstrom
-0.105 2.505 -3.724
-5.778 -2.107 -1.255
0.373 4.799 5.923
```

Computed properties:
Space-group type ... Immm, No. 71
VASP energy ... -4.863 eV/atom
ΔE_f ... -0.526 eV per atom
M_tot ... 0.00 μB/f.u.


LiSmLuOs: optimized geometry, PBE. Values from VASP.

Structure (Quantum ESPRESSO input):
```
&SYSTEM
  ibrav = 0, nat = 4, ntyp = 4
/
ATOMIC_SPECIES
Lu 174.97 Lu.upf
Os 190.23 Os.upf
Sm 150.36 Sm.upf
Li 6.94 Li.upf
ATOMIC_POSITIONS angstrom
Lu 7.346 4.241 2.999
Os 4.897 2.827 1.999
Sm 2.449 1.414 1.000
Li 0.000 0.000 0.000
CELL_PARAMETERS angstrom
4.897 0.000 0.000
2.449 4.241 0.000
2.449 1.414 3.999
```

Computed properties:
Space-group type ... F-43m, No. 216
VASP energy ... -5.810 eV/atom
ΔE_f ... -0.214 eV per atom
M_tot ... 0.00 μB/f.u.


LiCu2F6: optimized geometry, PBE. Values from VASP.

Structure (Quantum ESPRESSO input):
```
&SYSTEM
  ibrav = 0, nat = 18, ntyp = 3
/
ATOMIC_SPECIES
Li 6.94 Li.upf
Cu 63.55 Cu.upf
F 19.00 F.upf
ATOMIC_POSITIONS angstrom
Li -0.172 -2.456 -2.194
Li -4.544 0.146 0.193
Cu -6.249 -2.261 -1.936
Cu -3.182 -2.360 -2.066
Cu -7.554 0.243 0.321
Cu -1.533 0.049 0.065
F -4.729 -1.474 -2.936
F -7.717 -1.339 -2.853
F -1.741 -1.532 -3.106
F -6.375 -3.739 -3.255
F -3.264 -3.839 -3.387
F -0.279 -3.979 -3.553
F -0.065 -0.934 -0.834
F -6.167 -0.782 -0.614
F -3.057 -0.882 -0.746
F -1.714 -3.281 -1.149
F -7.691 -3.089 -0.895
F -4.703 -3.146 -1.066
CELL_PARAMETERS angstrom
-0.206 -0.259 -4.652
-0.138 -4.654 0.265
-9.087 0.292 0.386
```

Computed properties:
Energy relative to the lowest polymorph listed for this composition ... 0 meV per atom
Space-group type ... P4_2/mnm, No. 136
E_form (uncorrected) ... -174.7 kJ per mole of atoms
VASP energy ... -4.181 eV/atom
M_tot ... 3.02 μB/f.u.


DyAl9Co2: optimized geometry, PBE. Values from VASP.

Structure (Quantum ESPRESSO input):
```
&SYSTEM
  ibrav = 0, nat = 24, ntyp = 3
/
ATOMIC_SPECIES
Dy 162.50 Dy.upf
Al 26.98 Al.upf
Co 58.93 Co.upf
ATOMIC_POSITIONS angstrom
Dy 0.049 3.371 0.024
Dy -3.373 5.078 4.051
Al -3.324 8.449 4.075
Al 0.000 0.000 0.000
Al -6.437 5.538 5.653
Al -0.297 5.471 2.455
Al -0.927 7.152 4.443
Al -5.757 7.228 3.688
Al -5.636 9.738 4.822
Al -1.074 2.938 3.297
Al -6.656 4.708 2.931
Al -0.103 4.596 5.164
Al -3.683 9.697 6.499
Al -3.027 2.979 1.620
Al -1.781 4.607 7.118
Al -4.978 4.698 0.978
Al -4.484 5.498 7.330
Al -2.250 5.512 0.777
Al -4.080 7.218 1.735
Al -2.604 7.163 6.396
Co -1.304 9.250 5.804
Co -5.318 9.334 2.357
Co -1.612 7.596 2.061
Co -5.060 7.618 6.076
CELL_PARAMETERS angstrom
0.099 6.742 0.048
-7.412 3.476 0.591
0.616 3.309 7.486
```

Computed properties:
Space-group type ... I4_1/amd, No. 141
VASP energy ... -4.734 eV/atom
ΔE_f ... -0.360 eV per atom
M_tot ... 0.00 μB/f.u.


PrScZnIr: optimized geometry, PBE. Values from VASP.

Structure (Quantum ESPRESSO input):
```
&SYSTEM
  ibrav = 0, nat = 4, ntyp = 4
/
ATOMIC_SPECIES
Pr 140.91 Pr.upf
Sc 44.96 Sc.upf
Zn 65.41 Zn.upf
Ir 192.22 Ir.upf
ATOMIC_POSITIONS angstrom
Pr 7.371 4.256 3.009
Sc 2.457 1.419 1.003
Zn 0.000 0.000 0.000
Ir 4.914 2.837 2.006
CELL_PARAMETERS angstrom
4.914 0.000 0.000
2.457 4.256 0.000
2.457 1.419 4.012
```

Computed properties:
Space-group type ... F-43m, No. 216
VASP energy ... -5.798 eV/atom
ΔE_f ... -0.487 eV per atom
M_tot ... 0.00 μB/f.u.


Ho4SbPbC: optimized geometry, PBE. Values from VASP.

Structure (Quantum ESPRESSO input):
```
&SYSTEM
  ibrav = 0, nat = 14, ntyp = 4
/
ATOMIC_SPECIES
Ho 164.93 Ho.upf
Sb 121.76 Sb.upf
Pb 207.20 Pb.upf
C 12.01 C.upf
ATOMIC_POSITIONS angstrom
Ho 3.392 1.695 6.408
Ho 0.000 5.085 6.420
Ho 0.000 5.085 1.487
Ho 3.392 1.695 1.475
Ho 1.696 3.390 3.948
Ho -1.696 0.000 3.948
Ho 1.696 0.000 3.948
Ho -1.696 3.390 3.948
Sb 3.392 5.085 1.712
Sb 0.000 1.695 6.183
Pb 0.000 1.695 1.667
Pb 3.392 5.085 6.228
C 0.000 5.085 3.954
C 3.392 1.695 3.941
CELL_PARAMETERS angstrom
6.784 0.000 0.000
0.000 6.780 0.000
-3.392 0.000 7.895
```

Computed properties:
Space-group type ... Cmcm, No. 63
E_form (uncorrected) ... -65.0 kJ per mole of atoms
VASP energy ... -5.725 eV/atom
M_tot ... 0.00 μB/f.u.